# Rb3SrCr2O8, relaxed, DFT PBE with a Hubbard U
# * energy: -6.047 eV/atom
data_Rb3SrCr2O8
_symmetry_space_group_name_H-M 'P -3 m 1'
_symmetry_Int_Tables_number 164
_symmetry_space_group_name_Hall '-P 3 2"'
_cell_length_a 6.2106
_cell_length_b 6.2106
_cell_length_c 8.0451
_cell_angle_alpha 90.00
_cell_angle_beta 90.00
_cell_angle_gamma 120.00
loop_
_atom_site_label
_atom_site_type_symbol
_atom_site_fract_x
_atom_site_fract_y
_atom_site_fract_z
Rb1 Rb 0.0000 0.0000 0.0000
Rb2 Rb 0.3333 0.6667 0.6901
Sr1 Sr 0.0000 0.0000 0.5000
Cr1 Cr 0.3333 0.6667 0.2390
O1 O 0.1840 0.3681 0.3128
O2 O 0.3333 0.6667 0.0329

# Rb2TaCrO, relaxed, DFT PBE with a Hubbard U
# * energy: -4.520 eV/atom
data_Rb2TaCrO
_symmetry_space_group_name_H-M 'P 4/m m m'
_symmetry_Int_Tables_number 123
_symmetry_space_group_name_Hall '-P 4 2'
_cell_length_a 7.180
_cell_length_b 7.180
_cell_length_c 3.631
_cell_angle_alpha 90.00
_cell_angle_beta 90.00
_cell_angle_gamma 90.00
loop_
_atom_site_label
_atom_site_type_symbol
_atom_site_fract_x
_atom_site_fract_y
_atom_site_fract_z
Rb1 Rb 0.000 0.500 0.000
Ta1 Ta 0.000 0.000 0.500
Cr1 Cr 0.500 0.500 0.000
O1 O 0.500 0.500 0.500

# Rb2TbCrO6, relaxed, DFT PBE with a Hubbard U
# * energy: -5.984 eV/atom
data_Rb2TbCrO6
_symmetry_space_group_name_H-M 'P -3 m 1'
_symmetry_Int_Tables_number 164
_symmetry_space_group_name_Hall '-P 3 2"'
_cell_length_a 6.4220
_cell_length_b 6.4220
_cell_length_c 5.7090
_cell_angle_alpha 90.00
_cell_angle_beta 90.00
_cell_angle_gamma 120.00
loop_
_atom_site_label
_atom_site_type_symbol
_atom_site_fract_x
_atom_site_fract_y
_atom_site_fract_z
Rb1 Rb 0.3333 0.6667 0.1184
Tb1 Tb 0.0000 0.0000 0.5000
Cr1 Cr 0.0000 0.0000 0.0000
O1 O 0.1327 0.2654 0.8038

# Rb2Tb2CrO6, relaxed, DFT PBE with a Hubbard U
# * energy: -6.768 eV/atom
data_Rb2Tb2CrO6
_symmetry_space_group_name_H-M 'C 1 2/m 1'
_symmetry_Int_Tables_number 12
_cell_length_a 5.776
_cell_length_b 9.948
_cell_length_c 6.862
_cell_angle_alpha 90.00
_cell_angle_beta 104.72
_cell_angle_gamma 90.00
loop_
_symmetry_equiv_pos_as_xyz
'x,y,z'
'-x,-y,-z'
'-x,y,-z'
'x,-y,z'
'x+1/2,y+1/2,z'
'-x+1/2,-y+1/2,-z'
'-x+1/2,y+1/2,-z'
'x+1/2,-y+1/2,z'
loop_
_atom_site_label
_atom_site_type_symbol
_atom_site_fract_x
_atom_site_fract_y
_atom_site_fract_z
Rb1 Rb 0.000 0.164 0.000
Tb1 Tb 0.000 0.334 0.500
Cr1 Cr 0.000 0.000 0.500
O1 O 0.198 0.151 0.662
O2 O 0.236 0.000 0.340

# RbCrTe2O, relaxed, DFT PBE with a Hubbard U
# * energy: -3.709 eV/atom
data_RbCrTe2O
_symmetry_space_group_name_H-M 'P 4/m m m'
_symmetry_Int_Tables_number 123
_symmetry_space_group_name_Hall '-P 4 2'
_cell_length_a 5.180
_cell_length_b 5.180
_cell_length_c 7.709
_cell_angle_alpha 90.00
_cell_angle_beta 90.00
_cell_angle_gamma 90.00
loop_
_atom_site_label
_atom_site_type_symbol
_atom_site_fract_x
_atom_site_fract_y
_atom_site_fract_z
Rb1 Rb 0.000 0.000 0.000
Cr1 Cr 0.000 0.000 0.500
Te1 Te 0.000 0.500 0.500
O1 O 0.500 0.500 0.000

# RbCrTe2O8, relaxed, DFT PBE with a Hubbard U
# * energy: -5.721 eV/atom
data_RbCrTe2O8
_symmetry_space_group_name_H-M 'R -3'
_symmetry_Int_Tables_number 148
_symmetry_space_group_name_Hall '-R 3'
_cell_length_a 5.2251
_cell_length_b 5.2251
_cell_length_c 27.6612
_cell_angle_alpha 90.00
_cell_angle_beta 90.00
_cell_angle_gamma 120.00
loop_
_atom_site_label
_atom_site_type_symbol
_atom_site_fract_x
_atom_site_fract_y
_atom_site_fract_z
Rb1 Rb 0.0000 0.0000 0.0000
Cr1 Cr 0.0000 0.0000 0.5000
Te1 Te 0.0000 0.0000 0.2296
O1 O 0.0000 0.0000 0.2955
O2 O 0.0078 0.6939 0.4570

# RbCrTeO6, relaxed, DFT PBE with a Hubbard U
# * energy: -5.871 eV/atom
data_RbCrTeO6
_symmetry_space_group_name_H-M 'P 3 1 2'
_symmetry_Int_Tables_number 149
_cell_length_a 5.1849
_cell_length_b 5.1849
_cell_length_c 6.3795
_cell_angle_alpha 90.00
_cell_angle_beta 90.00
_cell_angle_gamma 120.00
loop_
_symmetry_equiv_pos_as_xyz
'x,y,z'
'-y,x-y,z'
'-x+y,-x,z'
'-y,-x,-z'
'-x+y,y,-z'
'x,x-y,-z'
loop_
_atom_site_label
_atom_site_type_symbol
_atom_site_fract_x
_atom_site_fract_y
_atom_site_fract_z
Rb1 Rb 0.0000 0.0000 0.0000
Cr1 Cr 0.6667 0.3333 0.5000
Te1 Te 0.3333 0.6667 0.5000
O1 O 0.4075 0.0090 0.3261

# Rb2CrTeO6, relaxed, DFT PBE with a Hubbard U
# * energy: -5.449 eV/atom
data_Rb2CrTeO6
_symmetry_space_group_name_H-M 'F m -3 m'
_symmetry_Int_Tables_number 225
_symmetry_space_group_name_Hall '-F 4 2 3'
_cell_length_a 8.095
_cell_length_b 8.095
_cell_length_c 8.095
_cell_angle_alpha 90.00
_cell_angle_beta 90.00
_cell_angle_gamma 90.00
loop_
_atom_site_label
_atom_site_type_symbol
_atom_site_fract_x
_atom_site_fract_y
_atom_site_fract_z
Rb1 Rb 0.250 0.250 0.250
Cr1 Cr 0.000 0.000 0.000
Te1 Te 0.000 0.000 0.500
O1 O 0.000 0.000 0.257